1.
This record from Alexandria describes LiAlRe2 at its PBEsol-relaxed geometry. The functional is meta-GGA SCAN.

a b c (Å): 2.5800 4.2014 5.1663
angles (deg): 90.00 90.00 90.00
Last column: nearest neighbours and their distance in Å.
Space group Pmmm (No. 47)
Inequivalent atoms, fractional coordinates:
Li 0.0000 0.0000 0.0000  2 Li 2.58, 2 Al 2.58, 8 Re 2.77
Al 0.0000 0.0000 0.5000  2 Al 2.58, 2 Li 2.58, 8 Re 2.80
Re 0.5000 0.5000 0.2444  4 Re 2.53-2.64, 4 Li 2.77, 4 Al 2.80

Calculated values
The energy comes out at -37.986 eV per atom. As for the energy of formation from the pure elements: 0.39 eV per formula unit.

***

2.
This record from Alexandria describes ZrTe at its PBEsol-relaxed geometry. The functional is meta-GGA SCAN.

a b c (Å): 3.7354 3.7354 3.8562
angles (deg): 90.00 90.00 120.00
Last column: nearest neighbours and their distance in Å.
Space group P-6m2 (No. 187)
Inequivalent atoms, fractional coordinates:
Zr 0.0000 0.0000 0.0000  6 Te 2.89
Te 0.6667 0.3333 0.5000  6 Zr 2.89

Calculated values
The energy comes out at -34.976 eV per atom. The formation energy (no corrections) is -1.0010 eV per atom.

***

3.
This record from Alexandria describes CuGePd3 at its PBEsol-relaxed geometry. The functional is meta-GGA SCAN.

a b c (Å): 4.4872 4.4872 4.4872
angles (deg): 90.00 90.00 90.00
Last column: nearest neighbours and their distance in Å.
Space group Pm-3m (No. 221)
Inequivalent atoms, fractional coordinates:
Cu 0.0000 0.0000 0.0000  6 Pd 2.24
Ge 0.5000 0.5000 0.5000  12 Pd 3.17
Pd 0.0000 0.0000 0.5000  2 Cu 2.24

Calculated values
The energy comes out at -25.787 eV per atom. As for the energy of formation from the pure elements: 3.68 eV per formula unit.

***

4.
This record from Alexandria describes Li2TcPt at its PBEsol-relaxed geometry. The functional is meta-GGA SCAN.

a b c (Å): 2.5580 4.2310 5.0810
angles (deg): 90.00 90.00 90.00
Last column: nearest neighbours and their distance in Å.
Space group Pmmm (No. 47)
Inequivalent atoms, fractional coordinates:
Li 0.0000 0.0000 0.2459  4 Li 2.50-2.58, 4 Pt 2.77, 4 Tc 2.79
Tc 0.5000 0.5000 0.5000  2 Pt 2.54, 2 Tc 2.56, 8 Li 2.79
Pt 0.5000 0.5000 0.0000  2 Tc 2.54, 2 Pt 2.56, 8 Li 2.77

Calculated values
The energy comes out at -27.531 eV per atom. As for the energy of formation from the pure elements: -0.09 eV per formula unit.

***

5.
This record from Alexandria describes Mg2Ti3InS8 at its PBEsol-relaxed geometry. The functional is meta-GGA SCAN.

a b c (Å): 7.1167 7.1167 18.9698
angles (deg): 90.00 90.00 120.00
Last column: nearest neighbours and their distance in Å.
Space group R-3m (No. 166, hexagonal axes)
Inequivalent atoms, fractional coordinates:
Mg 0.0000 0.0000 0.1305  4 S 2.41-2.46
Ti 0.0000 0.5000 0.0000  6 S 2.45-2.48
In 0.0000 0.0000 0.5000  6 S 2.62
S 0.0000 0.0000 0.2600  1 Mg 2.46, 3 Ti 2.48
S 0.0172 0.5086 0.2590  1 Mg 2.41, 2 Ti 2.45, 1 In 2.62

Calculated values
The energy comes out at -13.423 eV per atom. The formation energy (no corrections) is -1.3915 eV per atom.

***

6.
This record from Alexandria describes CaTlCd4 at its PBEsol-relaxed geometry. The functional is meta-GGA SCAN.

a b c (Å): 8.3260 8.3260 8.3260
angles (deg): 90.00 90.00 90.00
Last column: nearest neighbours and their distance in Å.
Space group F-43m (No. 216)
Inequivalent atoms, fractional coordinates:
Ca 0.0000 0.0000 0.0000  12 Cd 3.45, 4 Tl 3.61
Tl 0.2500 0.2500 0.7500  12 Cd 3.45, 4 Ca 3.61
Cd 0.1253 0.1253 0.3747  6 Cd 2.94-2.95

Calculated values
The energy comes out at -34.129 eV per atom. As for the energy of formation from the pure elements: -1.09 eV per formula unit.

***

7.
This record from Alexandria describes BeSeCl2 at its PBEsol-relaxed geometry. The functional is meta-GGA SCAN.

a b c (Å): 6.4839 6.4839 6.4839
angles (deg): 90.00 90.00 90.00
Last column: nearest neighbours and their distance in Å.
Space group F-43m (No. 216)
Inequivalent atoms, fractional coordinates:
Be 0.0000 0.0000 0.0000  4 Se 2.81, 4 Cl 2.81
Se 0.2500 0.2500 0.2500  4 Cl 2.81, 4 Be 2.81
Cl 0.0000 0.0000 0.5000  4 Cl 2.81, 4 Se 2.81
Cl 0.2500 0.2500 0.7500  4 Be 2.81, 4 Cl 2.81

Calculated values
The energy comes out at -9.461 eV per atom. The formation energy (no corrections) is 0.6359 eV per atom.

***

8.
This record from Alexandria describes ScAgPCl2 at its PBEsol-relaxed geometry. The functional is meta-GGA SCAN.

a b c (Å): 4.7438 4.7438 5.3088
angles (deg): 90.00 90.00 90.00
Last column: nearest neighbours and their distance in Å.
Space group P4/mmm (No. 123)
Inequivalent atoms, fractional coordinates:
Sc 0.0000 0.0000 0.0000  4 Cl 2.37, 2 P 2.65
Ag 0.5000 0.5000 0.5000  4 P 3.35, 8 Cl 3.56
P 0.0000 0.0000 0.5000  2 Sc 2.65
Cl 0.0000 0.5000 0.0000  2 Sc 2.37

Calculated values
The energy comes out at -15.103 eV per atom. The formation energy (no corrections) is -0.7112 eV per atom.